Record 1
The following is a DFT calculation (PBE) of an optimized crystal structure of Cu2ReNi2.

Relative energy among the computed polymorphs in meV per atom: 26.1
Energy of formation in eV/atom: 0.30

Cell and atoms, written as POSCAR:
```
Cu2ReNi2
1.0
6.811 0.000 0.000
0.000 6.811 0.000
0.000 0.000 2.607
Cu Re Ni
4 2 4
Direct
0.173 0.327 0.000 Cu
0.327 0.827 0.000 Cu
0.673 0.173 0.000 Cu
0.827 0.673 0.000 Cu
0.000 0.000 0.500 Re
0.500 0.500 0.500 Re
0.125 0.625 0.500 Ni
0.375 0.125 0.500 Ni
0.625 0.875 0.500 Ni
0.875 0.375 0.500 Ni
```


Record 2
The following is a DFT calculation (PBE) of an optimized crystal structure of La2SiPt.

Formation energy without anion corrections in kJ per mole of atoms: -90

Cell and atoms, written as POSCAR:
```
La2SiPt
1.0
5.915 0.000 0.000
0.000 4.364 0.000
-2.579 0.000 8.017
La Si Pt
4 2 2
Direct
0.201 0.250 0.418 La
0.283 0.750 0.066 La
0.717 0.250 0.934 La
0.799 0.750 0.582 La
0.355 0.750 0.711 Si
0.645 0.250 0.289 Si
0.157 0.250 0.785 Pt
0.843 0.750 0.215 Pt
```


Record 3
The following is a DFT calculation (PBE) of an optimized crystal structure of Re2RuPb.

Energy of formation in eV/atom: 0.75

Cell and atoms, written as POSCAR:
```
Re2RuPb
1.0
2.866 0.000 0.000
0.000 4.020 0.000
0.000 0.000 6.152
Re Ru Pb
2 1 1
Direct
0.000 0.000 0.194 Re
0.000 0.000 0.806 Re
0.500 0.500 0.000 Ru
0.500 0.500 0.500 Pb
```


Record 4
The following is a DFT calculation (PBE) of an optimized crystal structure of SrAl8Pd2.

Energy of formation in eV/atom: -0.03

Cell and atoms, written as POSCAR:
```
SrAl8Pd2
1.0
5.702 0.000 0.000
0.000 5.702 0.000
0.000 0.000 8.744
Sr Al Pd
1 8 2
Direct
0.000 0.000 0.000 Sr
0.252 0.252 0.321 Al
0.252 0.252 0.679 Al
0.252 0.748 0.321 Al
0.252 0.748 0.679 Al
0.748 0.252 0.321 Al
0.748 0.252 0.679 Al
0.748 0.748 0.321 Al
0.748 0.748 0.679 Al
0.000 0.500 0.500 Pd
0.500 0.000 0.500 Pd
```


no.,V (Å³ per cell)
1,120.9
2,206.9
3,70.9
4,284.3